# Zr12Cd3In

Crystalline Zr12Cd3In at its relaxed geometry (GGA-PBE, Alexandria via LeMat-Bulk).

Structure (CIF):
```
data_Zr12Cd3In
_symmetry_space_group_name_H-M 'P 1'
_symmetry_Int_Tables_number 1
_cell_length_a 4.4644
_cell_length_b 4.4644
_cell_length_c 17.8668
_cell_angle_alpha 90.00
_cell_angle_beta 90.00
_cell_angle_gamma 90.00
loop_
_symmetry_equiv_pos_as_xyz
'x,y,z'
loop_
_atom_site_label
_atom_site_type_symbol
_atom_site_fract_x
_atom_site_fract_y
_atom_site_fract_z
_atom_site_occupancy
Zr1 Zr 0.5000 0.0000 0.8750 1
Zr2 Zr 0.5000 0.5000 0.7494 1
Zr3 Zr 0.5000 0.5000 0.2506 1
Zr4 Zr 0.0000 0.5000 0.8750 1
Zr5 Zr 0.5000 0.0000 0.3750 1
Zr6 Zr 0.5000 0.0000 0.6250 1
Zr7 Zr 0.5000 0.5000 0.0000 1
Zr8 Zr 0.5000 0.0000 0.1250 1
Zr9 Zr 0.0000 0.5000 0.6250 1
Zr10 Zr 0.0000 0.5000 0.1250 1
Zr11 Zr 0.0000 0.5000 0.3750 1
Zr12 Zr 0.5000 0.5000 0.5000 1
Cd1 Cd 0.0000 0.0000 0.2504 1
Cd2 Cd 0.0000 0.0000 0.7496 1
Cd3 Cd 0.0000 0.0000 0.5000 1
In1 In 0.0000 0.0000 0.0000 1
```

DOS(E_F) = 15.0 states/eV/cell
Space group = P4/mmm
Formation energy = -11.93 kJ/mol of atoms
E_tot = -6.88 eV/atom